First-principles (GGA-PBE) data for an optimized crystal structure of HfUZnO6, as listed in Alexandria.

The formation energy without anion corrections comes out at -2.709 eV/atom. The calculation puts the uncorrected energy at -8.5163 eV per atom.

Geometry as POSCAR:
```
HfUZnO6
1.0
5.5415 0.0000 0.0000
-2.7707 4.7991 0.0000
0.0000 0.0000 8.9290
Hf U Zn O
2 2 2 12
Direct
0.3333 0.6667 0.2500
0.6667 0.3333 0.7500
0.3333 0.6667 0.7500
0.6667 0.3333 0.2500
0.0000 0.0000 0.0000
0.0000 0.0000 0.5000
0.0005 0.3459 0.1328
0.0005 0.6546 0.3672
0.3454 0.3459 0.3672
0.3454 0.9995 0.1328
0.3459 0.0005 0.6328
0.3459 0.3454 0.8672
0.6541 0.6546 0.1328
0.6541 0.9995 0.3672
0.6546 0.0005 0.8672
0.6546 0.6541 0.6328
0.9995 0.3454 0.6328
0.9995 0.6541 0.8672
```